[1]
Below is a relaxed structure of CdHRu2W, with properties calculated at the PBE level.

Lattice parameters (Å, degrees): 4.8476 4.8476 3.3301 90.00 90.00 90.00
Last column: nearest neighbours and their distance in Å.
Atoms (fractional coordinates):
Cd1 0.0000 0.0000 0.0000  8 Ru 2.94
H1 0.5000 0.5000 0.0000  2 W 1.67
Ru1 0.0000 0.5000 0.5000  2 W 2.42
Ru2 0.5000 0.0000 0.5000  2 W 2.42
W1 0.5000 0.5000 0.5000  2 H 1.67

Calculated values
Density of states at the Fermi level, states/eV per atom: 0.661
Crystal system: tetragonal
Density, g/cm3: 10.6
DFT total energy, eV for the cell shown: -31.2
Volume, Å³/cell: 78.3

[2]
Below is a relaxed structure of V2CrNiH, with properties calculated at the PBE level.

Lattice parameters (Å, degrees): 3.8550 3.8550 3.4640 90.00 90.00 90.00
Last column: nearest neighbours and their distance in Å.
Atoms (fractional coordinates):
V1 0.0000 0.5000 0.0000  2 H 1.93
V2 0.5000 0.0000 0.0000  2 H 1.93
Cr1 0.0000 0.0000 0.5000  2 H 1.73
Ni1 0.5000 0.5000 0.5000  8 V 2.59, 4 Cr 2.73
H1 0.0000 0.0000 0.0000  2 Cr 1.73, 4 V 1.93

Calculated values
Density of states at the Fermi level, states/eV per atom: 1.145
E above lowest polymorph, eV/f.u.: 0.126
Crystal system: tetragonal
Density, g/cm3: 6.9
DFT total energy, eV for the cell shown: -37.1
Volume, Å³/cell: 51.5

[3]
Below is a relaxed structure of TbPrIrRh, with properties calculated at the PBE level.

Lattice parameters (Å, degrees): 7.0164 7.0164 7.0164 90.00 90.00 90.00
Last column: nearest neighbours and their distance in Å.
Atoms (fractional coordinates):
Tb1 0.0000 0.0000 0.0000  4 Rh 3.04, 4 Ir 3.04
Tb2 0.0000 0.5000 0.5000  4 Ir 3.04, 4 Rh 3.04
Tb3 0.5000 0.0000 0.5000  4 Ir 3.04, 4 Rh 3.04
Tb4 0.5000 0.5000 0.0000  4 Ir 3.04, 4 Rh 3.04
Pr1 0.0000 0.0000 0.5000  4 Ir 3.04, 4 Rh 3.04
Pr2 0.0000 0.5000 0.0000  4 Ir 3.04, 4 Rh 3.04
Pr3 0.5000 0.0000 0.0000  4 Ir 3.04, 4 Rh 3.04
Pr4 0.5000 0.5000 0.5000  4 Ir 3.04, 4 Rh 3.04
Ir1 0.2500 0.2500 0.7500  4 Tb 3.04, 4 Pr 3.04
Ir2 0.2500 0.7500 0.2500  4 Tb 3.04, 4 Pr 3.04
Ir3 0.7500 0.2500 0.2500  4 Tb 3.04, 4 Pr 3.04
Ir4 0.7500 0.7500 0.7500  4 Tb 3.04, 4 Pr 3.04
Rh1 0.2500 0.2500 0.2500  4 Tb 3.04, 4 Pr 3.04
Rh2 0.2500 0.7500 0.7500  4 Tb 3.04, 4 Pr 3.04
Rh3 0.7500 0.2500 0.7500  4 Tb 3.04, 4 Pr 3.04
Rh4 0.7500 0.7500 0.2500  4 Tb 3.04, 4 Pr 3.04

Calculated values
Density of states at the Fermi level, states/eV per atom: 0.435
Crystal system: cubic
Density, g/cm3: 11.4
ΔH_f (0 K), eV per formula unit: -2.74
DFT total energy, eV for the cell shown: -113.5
Volume, Å³/cell: 345.4

[4]
Below is a relaxed structure of SrCoCl2, with properties calculated at the PBE level.

Lattice parameters (Å, degrees): 3.9325 4.3334 5.1913 90.00 90.00 90.00
Last column: nearest neighbours and their distance in Å.
Atoms (fractional coordinates):
Sr1 0.0000 0.0000 0.0000  8 Cl 2.93-3.26
Co1 0.0000 0.5000 0.5000  8 Cl 2.93-3.26
Cl1 0.5000 0.0000 0.5000  4 Co 2.93, 4 Sr 3.26
Cl2 0.5000 0.5000 0.0000  4 Sr 2.93, 4 Co 3.26

Calculated values
Density of states at the Fermi level, states/eV per atom: 0.782
E above lowest polymorph, eV/f.u.: 1.243
Crystal system: orthorhombic
Raw formation energy, meV per atom: -663
Density, g/cm3: 4.1
DFT total energy, eV for the cell shown: -15.1
Volume, Å³/cell: 88.5

[5]
Below is a relaxed structure of CaBrO2, with properties calculated at the PBE level.

Lattice parameters (Å, degrees): 6.5019 3.6532 12.3919 90.00 90.00 90.00
Last column: nearest neighbours and their distance in Å.
Atoms (fractional coordinates):
Ca1 0.0854 0.2500 0.1129  5 O 2.31-2.36
Ca2 0.4146 0.7500 0.6129  5 O 2.31-2.36
Ca3 0.5854 0.2500 0.3871  5 O 2.31-2.36
Ca4 0.9146 0.7500 0.8871  5 O 2.31-2.36
Br1 0.0874 0.7500 0.3627  2 O 1.94-2.01
Br2 0.4126 0.2500 0.8627  2 O 1.94-2.01
Br3 0.5874 0.7500 0.1373  2 O 1.94-2.01
Br4 0.9126 0.2500 0.6373  2 O 1.94-2.01
O1 0.1301 0.2500 0.9277  1 Br 2.01
O2 0.2072 0.2500 0.6619  1 Br 1.94
O3 0.2928 0.7500 0.1619  1 Br 1.94
O4 0.3699 0.7500 0.4277  1 Br 2.01
O5 0.6301 0.2500 0.5723  1 Br 2.01
O6 0.7072 0.2500 0.8381  1 Br 1.94
O7 0.7928 0.7500 0.3381  1 Br 1.94
O8 0.8699 0.7500 0.0723  1 Br 2.01

Calculated values
Density of states at the Fermi level, states/eV per atom: 0.621
E above lowest polymorph, eV/f.u.: 0.520
Crystal system: orthorhombic
Raw formation energy, meV per atom: -1327
Density, g/cm3: 3.4
DFT total energy, eV for the cell shown: -75.6
Volume, Å³/cell: 294.3

[6]
Below is a relaxed structure of VHg2As2, with properties calculated at the PBE level.

Lattice parameters (Å, degrees): 6.4829 6.4829 5.5095 90.00 90.00 90.00
Last column: nearest neighbours and their distance in Å.
Atoms (fractional coordinates):
V1 0.0000 0.0000 0.0000  4 As 2.51
V2 0.5000 0.5000 0.0000  4 As 2.51
Hg1 0.1873 0.3127 0.5000  2 As 2.79
Hg2 0.3127 0.8127 0.5000  2 As 2.79
Hg3 0.6873 0.1873 0.5000  2 As 2.79
Hg4 0.8127 0.6873 0.5000  2 As 2.79
As1 0.1375 0.3625 0.0000  2 V 2.51, 1 As 2.52, 2 Hg 2.79
As2 0.3625 0.8625 0.0000  2 V 2.51, 1 As 2.52, 2 Hg 2.79
As3 0.6375 0.1375 0.0000  2 V 2.51, 1 As 2.52, 2 Hg 2.79
As4 0.8625 0.6375 0.0000  2 V 2.51, 1 As 2.52, 2 Hg 2.79

Calculated values
Density of states at the Fermi level, states/eV per atom: 0.696
E above lowest polymorph, eV/f.u.: 0.000
Crystal system: tetragonal
Density, g/cm3: 8.6
ΔH_f (0 K), eV per formula unit: 0.72
DFT total energy, eV for the cell shown: -36.6
Volume, Å³/cell: 231.6